Below is SmTh2Hg5 after structural relaxation, with properties calculated at the PBE-GGA level.

Cell: 5.181 5.181 15.661 Å, 90.00 90.00 90.00°
Positions (direct):
1 Sm 0.000 0.000 0.000
2 Sm 0.500 0.500 0.500
3 Th 0.000 0.000 0.262
4 Th 0.000 0.000 0.738
5 Th 0.500 0.500 0.238
6 Th 0.500 0.500 0.762
7 Hg 0.000 0.000 0.500
8 Hg 0.000 0.500 0.118
9 Hg 0.000 0.500 0.382
10 Hg 0.000 0.500 0.618
11 Hg 0.000 0.500 0.882
12 Hg 0.500 0.000 0.118
13 Hg 0.500 0.000 0.382
14 Hg 0.500 0.000 0.618
15 Hg 0.500 0.000 0.882
16 Hg 0.500 0.500 0.000

Computed properties:
Space-group type: I4/mmm (139)
Formation energy from the elements, eV per formula unit: -2.3